(1)
A relaxed CaCd2Te crystal, computed with GGA-PBE.

a = 9.2231 Å, b = 4.5371 Å, c = 6.1143 Å
α = 90.00°, β = 100.53°, γ = 90.00°
Last column: nearest neighbours and their distance in Å.
Space group Cm (No. 8)
One atom of each set of equivalent atoms:
Ca 0.0000 0.0000 0.0000 (multiplicity 2)  3 Te 3.13-3.14, 2 Cd 3.32
Cd 0.0686 0.5000 0.6355 (multiplicity 2)  3 Cd 2.82-2.89, 1 Te 3.13
Cd 0.2623 0.0000 0.6333 (multiplicity 2)  3 Cd 2.82-2.89
Te 0.2153 0.5000 0.2124 (multiplicity 2)  3 Cd 3.13-3.40, 3 Ca 3.13-3.14

(2)
A relaxed CaCd3Te crystal, computed with GGA-PBE.

Output
excess energy over the best structure of this formula in the dataset	0	meV/atom

a = 5.7458 Å, b = 5.7458 Å, c = 5.7458 Å
α = 90.00°, β = 90.00°, γ = 90.00°
Last column: nearest neighbours and their distance in Å.
Space group Pm-3m (No. 221)
One atom of each set of equivalent atoms:
Ca 0.0000 0.0000 0.0000 (multiplicity 1)  12 Cd 4.06
Cd 0.0000 0.5000 0.5000 (multiplicity 3)  2 Te 2.87
Te 0.5000 0.5000 0.5000 (multiplicity 1)  6 Cd 2.87

(3)
A relaxed CaCd2Te crystal, computed with GGA-PBE.

a = 8.9799 Å, b = 8.9799 Å, c = 5.9773 Å
α = 90.00°, β = 90.00°, γ = 90.00°
Last column: nearest neighbours and their distance in Å.
Space group I-42d (No. 122)
One atom of each set of equivalent atoms:
Ca 0.0000 0.0000 0.0000 (multiplicity 4)  2 Te 2.99
Cd 0.2226 0.7500 0.6250 (multiplicity 8)  2 Cd 3.03, 2 Te 3.10
Te 0.0000 0.0000 0.5000 (multiplicity 4)  2 Ca 2.99, 4 Cd 3.10

(4)
A relaxed CaCd2Te crystal, computed with GGA-PBE.

a = 4.9405 Å, b = 4.9405 Å, c = 9.1631 Å
α = 90.00°, β = 90.00°, γ = 90.00°
Last column: nearest neighbours and their distance in Å.
Space group I-4m2 (No. 119)
One atom of each set of equivalent atoms:
Ca 0.0000 0.0000 0.0000 (multiplicity 2)  8 Cd 3.37-3.49, 4 Te 3.37
Cd 0.0000 0.0000 0.5000 (multiplicity 2)  4 Cd 3.37, 4 Te 3.37, 4 Ca 3.49
Cd 0.0000 0.5000 0.7500 (multiplicity 2)  4 Cd 3.37, 4 Ca 3.37, 4 Te 3.49
Te 0.0000 0.5000 0.2500 (multiplicity 2)  8 Cd 3.37-3.49, 4 Ca 3.37

| no. | E_tot (eV/atom) |
| --- | --- |
| 1 | -2.261 |
| 2 | -1.328 |
| 3 | -2.209 |
| 4 | -2.185 |